[1]
The following is a DFT calculation (SCAN) of Sr2CaRu at its PBEsol-relaxed geometry.

Lattice parameters (Å, degrees): 4.8644 4.8644 4.7966 90.00 90.00 90.00
Space group P4/mmm (No. 123)
One atom of each set of equivalent atoms:
Sr1 0.0000 0.5000 0.0000 (multiplicity 2)
Ca1 0.0000 0.0000 0.5000 (multiplicity 1)
Ru1 0.5000 0.5000 0.5000 (multiplicity 1)

Results
ΔE to the lowest computed polymorph = 250 meV/atom
Crystal system = tetragonal

[2]
The following is a DFT calculation (SCAN) of Sr2CaRu at its PBEsol-relaxed geometry.

Lattice parameters (Å, degrees): 3.7549 3.7549 33.0620 90.00 90.00 120.00
Space group R-3m (No. 166, hexagonal axes)
One atom of each set of equivalent atoms:
Sr1 0.0000 0.0000 0.2267 (multiplicity 6)
Ca1 0.0000 0.0000 0.0000 (multiplicity 3)
Ru1 0.0000 0.0000 0.5000 (multiplicity 3)

Results
ΔE to the lowest computed polymorph = 179 meV/atom
Crystal system = trigonal

[3]
The following is a DFT calculation (SCAN) of SrCa3Ru at its PBEsol-relaxed geometry.

Lattice parameters (Å, degrees): 5.3981 5.3981 5.3981 90.00 90.00 90.00
Space group Pm-3m (No. 221)
One atom of each set of equivalent atoms:
Sr1 0.0000 0.0000 0.0000 (multiplicity 1)
Ca1 0.0000 0.0000 0.5000 (multiplicity 3)
Ru1 0.5000 0.5000 0.5000 (multiplicity 1)

Results
Crystal system = cubic

[4]
The following is a DFT calculation (SCAN) of Sr2CaRu at its PBEsol-relaxed geometry.

Lattice parameters (Å, degrees): 3.5128 4.9441 15.8102 90.00 90.00 90.00
Space group Immm (No. 71)
One atom of each set of equivalent atoms:
Sr1 0.0000 0.0000 0.1530 (multiplicity 4)
Ca1 0.0000 0.5000 0.0000 (multiplicity 2)
Ru1 0.0000 0.5000 0.5000 (multiplicity 2)

Results
ΔE to the lowest computed polymorph = 0 meV/atom
Crystal system = orthorhombic

| no. | N(E_F) (states/eV per cell) | theoretical density (g/cm³) | energy of formation (eV per formula unit) |
| --- | --- | --- | --- |
| 1 | 1.7 | 4.63 | 2.292 |
| 2 | 10.0 | 3.90 | 2.007 |
| 3 | 3.7 | 3.26 | 9.231 |
| 4 | 6.3 | 3.83 | 1.290 |